Entry 1:
Entry from Alexandria: a relaxed structure of Li2Au (PBE).

Output
energy of formation = -1.26 eV per formula unit
symmetry = Cmc2_1 (36)
DFT total energy = -2.787 eV/atom

abc: 4.7393 4.7393 7.5954
angles: 89.99 89.99 34.12
Last column: nearest neighbours and their distance in Å.
Fractional positions:
Au 0.2652 0.2652 0.3989  9 Li 2.67-2.83, 2 Au 2.78
Au 0.0126 0.0126 0.8989  9 Li 2.67-2.83, 2 Au 2.78
Li 0.9963 0.9963 0.5480  4 Au 2.67-2.76, 7 Li 2.67-2.91
Li 0.2816 0.2816 0.0479  4 Au 2.67-2.76, 7 Li 2.67-2.91
Li 0.7386 0.7386 0.7198  7 Li 2.67-2.91, 5 Au 2.82-2.83
Li 0.5390 0.5390 0.2198  7 Li 2.67-2.91, 5 Au 2.82-2.83

Entry 2:
Entry from Alexandria: a relaxed structure of Li5Au6 (PBE).

Output
energy of formation = -5.03 eV per formula unit
symmetry = P-1 (2)
DFT total energy = -3.115 eV/atom

abc: 4.6788 5.6277 7.4557
angles: 112.43 96.21 89.84
Last column: nearest neighbours and their distance in Å.
Fractional positions:
Au 0.8172 0.0815 0.6646  7 Li 2.70-2.76, 4 Au 2.80-3.00
Au 0.8181 0.5846 0.6655  7 Li 2.70-2.76, 4 Au 2.80-3.00
Au 0.1819 0.4154 0.3345  7 Li 2.70-2.76, 4 Au 2.80-3.00
Au 0.4993 0.7528 0.9999  6 Li 2.72-2.75, 4 Au 2.78-2.89
Au 0.1828 0.9185 0.3354  7 Li 2.70-2.76, 4 Au 2.80-3.00
Au 0.5007 0.2472 0.0001  6 Li 2.72-2.75, 4 Au 2.78-2.89
Li 0.3223 0.3342 0.6675  8 Au 2.70-2.76, 3 Li 2.81-2.89
Li 0.0000 0.5000 0.0000  8 Au 2.74-2.76, 2 Li 2.89
Li 0.6883 0.1646 0.3296  8 Au 2.70-2.76, 2 Li 2.81-2.82
Li 0.3117 0.8354 0.6704  8 Au 2.70-2.76, 2 Li 2.81-2.82
Li 0.6777 0.6658 0.3325  8 Au 2.70-2.76, 3 Li 2.81-2.89

Entry 3:
Entry from Alexandria: a relaxed structure of Li5Au (PBE).

Output
energy of formation = -1.55 eV per formula unit
symmetry = Cmmm (65)
energy above the most stable polymorph in this dataset = 1 meV/atom
DFT total energy = -2.400 eV/atom

abc: 4.1261 4.1296 6.3261
angles: 109.05 90.00 90.00
Last column: nearest neighbours and their distance in Å.
Fractional positions:
Li 0.5000 0.1539 0.3078  2 Au 2.76, 10 Li 2.77-3.09
Li 0.5000 0.8461 0.6922  2 Au 2.76, 10 Li 2.77-3.09
Li 0.5000 0.5000 0.0000  8 Li 2.77-2.78, 4 Au 2.92
Li 0.0000 0.6557 0.3114  10 Li 2.78-3.07, 2 Au 2.78
Li 0.0000 0.3443 0.6886  10 Li 2.78-3.07, 2 Au 2.78
Au 0.0000 0.0000 0.0000  12 Li 2.76-2.92

Entry 4:
Entry from Alexandria: a relaxed structure of Li5Au2 (PBE).

Output
energy of formation = -2.90 eV per formula unit
symmetry = C2/c (15)
DFT total energy = -2.717 eV/atom

abc: 4.4579 7.0050 7.7535
angles: 101.38 90.00 108.55
Last column: nearest neighbours and their distance in Å.
Fractional positions:
Au 0.3383 0.1758 0.1098  8 Li 2.61-2.84
Au 0.1625 0.8242 0.3902  8 Li 2.61-2.84
Au 0.8375 0.1758 0.6098  8 Li 2.61-2.84
Au 0.6617 0.8242 0.8902  8 Li 2.61-2.84
Li 0.5413 0.5841 0.1819  1 Au 2.65, 7 Li 2.70-2.81
Li 0.9572 0.4159 0.3181  1 Au 2.65, 7 Li 2.70-2.81
Li 0.2498 0.0000 0.7500  6 Li 2.70-3.01, 6 Au 2.79-2.84
Li 0.8722 0.2435 0.9553  4 Au 2.61-2.73, 3 Li 2.81
Li 0.0428 0.5841 0.6819  1 Au 2.65, 7 Li 2.70-2.81
Li 0.1278 0.7565 0.0447  4 Au 2.61-2.73, 3 Li 2.81
Li 0.7502 0.0000 0.2500  6 Li 2.70-3.01, 6 Au 2.79-2.84
Li 0.6287 0.7565 0.5447  4 Au 2.61-2.73, 3 Li 2.81
Li 0.3713 0.2435 0.4553  4 Au 2.61-2.73, 3 Li 2.81
Li 0.4587 0.4159 0.8181  1 Au 2.65, 7 Li 2.70-2.81

Copy entry 1 word for word.
Entry from Alexandria: a relaxed structure of Li2Au (PBE).

Output
energy of formation = -1.26 eV per formula unit
symmetry = Cmc2_1 (36)
DFT total energy = -2.787 eV/atom

abc: 4.7393 4.7393 7.5954
angles: 89.99 89.99 34.12
Last column: nearest neighbours and their distance in Å.
Fractional positions:
Au 0.2652 0.2652 0.3989  9 Li 2.67-2.83, 2 Au 2.78
Au 0.0126 0.0126 0.8989  9 Li 2.67-2.83, 2 Au 2.78
Li 0.9963 0.9963 0.5480  4 Au 2.67-2.76, 7 Li 2.67-2.91
Li 0.2816 0.2816 0.0479  4 Au 2.67-2.76, 7 Li 2.67-2.91
Li 0.7386 0.7386 0.7198  7 Li 2.67-2.91, 5 Au 2.82-2.83
Li 0.5390 0.5390 0.2198  7 Li 2.67-2.91, 5 Au 2.82-2.83

Question: What is the formula in the second record?
Answer: Li5Au6

Question: Look up the DFT total energy of the fourth one.
Answer: -2.717 eV/atom